Entry 1:
Here is crystalline YTaBe2 at its relaxed geometry from Alexandria. Energies are from GGA-PBE.

DOS(E_F) (states/eV per atom): 0.330
ΔH_f (0 K) (meV/atom): 217
Magnetic moment (μB/f.u.): 0.00
Total energy (eV per cell): -24.90

a = 4.573 Å, b = 4.573 Å, c = 3.029 Å
α = 90.00°, β = 90.00°, γ = 90.00°
Positions (direct):
Y 0.000 0.000 0.000
Ta 0.500 0.500 0.000
Be 0.000 0.500 0.500
Be 0.500 0.000 0.500



Entry 2:
Here is crystalline Nd2Sn4HgPd3 at its relaxed geometry from Alexandria. Energies are from GGA-PBE.

DOS(E_F) (states/eV per atom): 0.397
ΔH_f (0 K) (meV/atom): -643
Magnetic moment (μB/f.u.): 0.00
Total energy (eV per cell): -47.86

a = 4.503 Å, b = 4.503 Å, c = 11.524 Å
α = 90.00°, β = 90.00°, γ = 90.00°
Positions (direct):
Nd 0.000 0.500 0.249
Nd 0.500 0.000 0.751
Sn 0.000 0.000 0.500
Sn 0.000 0.500 0.855
Sn 0.500 0.000 0.145
Sn 0.500 0.500 0.500
Hg 0.500 0.500 0.000
Pd 0.000 0.000 0.000
Pd 0.000 0.500 0.630
Pd 0.500 0.000 0.370



Entry 3:
Here is crystalline Ac2TiZnPd6 at its relaxed geometry from Alexandria. Energies are from GGA-PBE.

DOS(E_F) (states/eV per atom): 0.306
ΔH_f (0 K) (meV/atom): -506
Magnetic moment (μB/f.u.): 0.00
Total energy (eV per cell): -53.61

a = 5.985 Å, b = 5.992 Å, c = 8.102 Å
α = 90.03°, β = 111.66°, γ = 119.93°
Positions (direct):
Ac 0.034 0.267 0.299
Ac 0.966 0.733 0.701
Ti 0.500 0.000 0.500
Zn 0.500 0.500 0.000
Pd 0.002 0.751 0.251
Pd 0.495 0.249 0.746
Pd 0.496 0.747 0.747
Pd 0.504 0.253 0.253
Pd 0.505 0.751 0.254
Pd 0.998 0.249 0.749